(i)
A relaxed LiCaCo2 crystal. Source: Alexandria via LeMat-Bulk, functional PBEsol.

Unit cell a=4.399 b=4.399 c=4.399 alpha=60.00 beta=60.00 gamma=60.00
Sites, in units of the cell vectors:
Li  0.000  0.000  0.000
Ca  0.500  0.500  0.500
Co  0.250  0.250  0.250
Co  0.750  0.750  0.750

Computed properties:
Size of the total moment, μB/cell: 1.95
SG: Fm-3m, No. 225



(ii)
A relaxed LiCaCo2 crystal. Source: Alexandria via LeMat-Bulk, functional PBEsol.

Unit cell a=8.814 b=8.814 c=8.814 alpha=18.12 beta=18.12 gamma=18.12
Sites, in units of the cell vectors:
Li  0.000  0.000  0.000
Ca  0.500  0.500  0.500
Co  0.255  0.255  0.255
Co  0.745  0.745  0.745

Computed properties:
Size of the total moment, μB/cell: 2.05
SG: R-3m, No. 166



From most stable to least stable, the computed energies give (i), (ii).